Entry from Alexandria via LeMat-Bulk: NdSmTe2 after structural relaxation (GGA-PBE).

Output
Offset from the most stable computed form (meV per atom): 12
E (eV/atom): -5.3461
Symmetry: C2/m

Lattice parameters (Å, degrees): 4.497 4.477 7.716 107.02 90.00 120.15
Positions (direct):
Te1 0.251 0.003 0.254
Te2 0.749 0.997 0.746
Nd1 0.500 0.500 0.000
Sm1 0.000 0.500 0.500